No. 1
! InGeBi | the Alexandria database | PBE | optimized geometry; values from VASP
! formation energy from the elements: 154 meV per atom
! energy above the lowest structure with this stoichiometry: 0.12 eV per formula unit
&SYSTEM
  ibrav = 0, nat = 3, ntyp = 3
/
ATOMIC_SPECIES
Ge 72.64 Ge.upf
Bi 208.98 Bi.upf
In 114.82 In.upf
ATOMIC_POSITIONS angstrom
Ge 0.847 -2.775 1.042
Bi 0.000 0.000 0.000
In 1.695 -5.551 2.083
CELL_PARAMETERS angstrom
-1.346 -3.889 2.900
1.245 -4.690 -1.342
3.491 -2.522 2.608

---

No. 2
! InGeBi | the Alexandria database | PBE | optimized geometry; values from VASP
! formation energy from the elements: 163 meV per atom
! energy above the lowest structure with this stoichiometry: 0.15 eV per formula unit
&SYSTEM
  ibrav = 0, nat = 6, ntyp = 3
/
ATOMIC_SPECIES
In 114.82 In.upf
Ge 72.64 Ge.upf
Bi 208.98 Bi.upf
ATOMIC_POSITIONS angstrom
In -2.373 2.556 3.111
In -3.050 0.301 5.510
Ge -1.148 0.128 1.688
Ge -4.274 2.728 6.934
Bi -1.766 4.063 5.915
Bi -3.656 -1.207 2.706
CELL_PARAMETERS angstrom
-2.497 1.802 -1.174
-3.787 -3.492 2.697
0.862 4.547 7.098

---

Calculated volume, respectively: 90.2 161.9 Å³/cell.
Raw total energy, respectively: -3.5918 -3.5826 eV/atom.
Magnetization, respectively: 0.0 0.0 μB/cell.